Record 1
## FeIrW2 (PBE-GGA)

Data for a geometry-optimized FeIrW2 structure.

Computed properties:
The density of states at the Fermi level is 3.01 states/eV/cell. The value obtained for the relative energy among the computed polymorphs is 0.001 eV per atom. Its volume is 14.262 A^3/atom. As for the magnetic moment: 0.0 μB/f.u. Its energy of formation is -0.054 eV per atom.

Cell: 2.751 2.751 7.541 Å, 90.00 90.00 90.00°
Space group P4/mmm (No. 123)
Unique sites:
Fe 0.000 0.000 0.000 x1
Ir 0.000 0.000 0.500 x1
W 0.500 0.500 0.234 x2

=====

Record 2
## Ag2ICl6 (PBE-GGA)

Data for a geometry-optimized Ag2ICl6 structure.

Computed properties:
The density of states at the Fermi level is 11.06 states/eV/cell. The formation energy from raw total energies is -295 meV/atom. The value obtained for the relative energy among the computed polymorphs is 0.000 eV per atom. Its volume is 31.722 A^3/atom. As for the magnetic moment: 0.0 μB/f.u.

Cell: 12.417 17.932 5.168 Å, 90.00 97.09 90.00°
Space group C2/c (No. 15)
Unique sites:
Ag 0.141 0.079 0.001 x8
I 0.000 0.314 0.750 x4
Cl 0.111 0.409 0.998 x8
Cl 0.116 0.214 0.041 x8
Cl 0.138 0.062 0.501 x8

=====

Record 3
## HBr (PBE-GGA)

Data for a geometry-optimized HBr structure.

Computed properties:
Its volume is 25.680 A^3/atom. As for the magnetic moment: 0.0 μB/f.u. The calculated total energy is -2.438 eV per atom.

Cell: 3.359 7.790 7.850 Å, 90.00 90.00 90.00°
Space group Fmmm (No. 69)
Unique sites:
H 0.000 0.000 0.000 x4
Br 0.000 0.000 0.500 x4